Run w
Computed, not measured: a relaxed La2Y2Ni crystal at the PBE level of DFT.

Lattice parameters (Å, degrees): 7.205 7.205 5.854 90.00 90.00 90.00
Atoms (fractional coordinates):
1 La 0.837 0.337 0.500
2 La 0.163 0.663 0.500
3 La 0.663 0.837 0.500
4 La 0.337 0.163 0.500
5 Y 0.838 0.662 0.000
6 Y 0.662 0.162 0.000
7 Y 0.338 0.838 0.000
8 Y 0.162 0.338 0.000
9 Ni 0.000 0.000 0.000
10 Ni 0.500 0.500 0.000

---

Run x
Computed, not measured: a relaxed La2Y2Ni crystal at the PBE level of DFT.

Lattice parameters (Å, degrees): 7.262 7.262 5.770 90.00 90.00 90.00
Atoms (fractional coordinates):
1 La 0.343 0.843 0.000
2 La 0.657 0.157 0.000
3 La 0.157 0.343 0.000
4 La 0.843 0.657 0.000
5 Ni 0.000 0.000 0.000
6 Ni 0.500 0.500 0.000
7 Y 0.837 0.337 0.500
8 Y 0.663 0.837 0.500
9 Y 0.163 0.663 0.500
10 Y 0.337 0.163 0.500

---

Sorted by energy, starting with the most stable: run w, run x.

---

Run w
Computed, not measured: a relaxed LaZnNi crystal at the PBE level of DFT.

Lattice parameters (Å, degrees): 4.799 4.799 4.799 60.00 60.00 60.00
Atoms (fractional coordinates):
1 Zn 0.500 0.500 0.500
2 La 0.750 0.750 0.750
3 Ni 0.000 0.000 0.000

---

Run x
Computed, not measured: a relaxed LaZnNi crystal at the PBE level of DFT.

Lattice parameters (Å, degrees): 4.010 3.977 4.484 90.00 116.91 90.00
Atoms (fractional coordinates):
1 La 0.104 0.000 0.068
2 Ni 0.732 0.500 0.329
3 Zn 0.421 0.500 0.703

---

Sorted by energy, starting with the most stable: run x, run w.

---

Run w
Computed, not measured: a relaxed LaZnNi crystal at the PBE level of DFT.

Lattice parameters (Å, degrees): 7.305 7.305 3.925 90.00 90.00 120.00
Atoms (fractional coordinates):
1 Zn 0.000 0.229 0.500
2 Zn 0.229 0.000 0.500
3 Zn 0.771 0.771 0.500
4 Ni 0.000 0.000 0.000
5 Ni 0.333 0.667 0.500
6 Ni 0.667 0.333 0.500
7 La 0.417 0.417 0.000
8 La 0.000 0.583 0.000
9 La 0.583 0.000 0.000

---

Run x
Computed, not measured: a relaxed LaZnNi crystal at the PBE level of DFT.

Lattice parameters (Å, degrees): 4.586 4.586 4.586 60.00 60.00 60.00
Atoms (fractional coordinates):
1 La 0.500 0.500 0.500
2 Zn 0.000 0.000 0.000
3 Ni 0.750 0.750 0.750

---

Run y
Computed, not measured: a relaxed LaZnNi crystal at the PBE level of DFT.

Lattice parameters (Å, degrees): 5.822 5.822 3.329 73.39 73.39 33.22
Atoms (fractional coordinates):
1 La 0.990 0.990 0.010
2 Ni 0.304 0.304 0.696
3 Zn 0.706 0.706 0.294

---

Run z
Computed, not measured: a relaxed LaZnNi crystal at the PBE level of DFT.

Lattice parameters (Å, degrees): 4.279 4.754 6.402 90.00 109.35 90.00
Atoms (fractional coordinates):
1 Zn 0.364 0.750 0.727
2 Zn 0.636 0.250 0.273
3 La 0.899 0.250 0.799
4 La 0.101 0.750 0.201
5 Ni 0.763 0.750 0.523
6 Ni 0.237 0.250 0.477

---

Sorted by energy, starting with the most stable: run w, run z, run x, run y.

---

Run w
Computed, not measured: a relaxed La2Zn2Ni crystal at the PBE level of DFT.

Lattice parameters (Å, degrees): 3.931 6.068 10.756 87.69 79.47 71.10
Atoms (fractional coordinates):
1 Zn 0.965 0.658 0.412
2 Zn 0.376 0.133 0.116
3 Zn 0.624 0.867 0.884
4 Zn 0.035 0.342 0.588
5 La 0.714 0.214 0.359
6 La 0.286 0.786 0.641
7 La 0.089 0.703 0.119
8 La 0.911 0.297 0.881
9 Ni 0.577 0.153 0.694
10 Ni 0.423 0.847 0.306

---

Run x
Computed, not measured: a relaxed La2Zn2Ni crystal at the PBE level of DFT.

Lattice parameters (Å, degrees): 6.814 6.814 4.849 90.00 90.00 90.00
Atoms (fractional coordinates):
1 Ni 0.000 0.000 0.000
2 Ni 0.500 0.500 0.000
3 Zn 0.638 0.138 0.000
4 Zn 0.362 0.862 0.000
5 Zn 0.862 0.638 0.000
6 Zn 0.138 0.362 0.000
7 La 0.671 0.829 0.500
8 La 0.329 0.171 0.500
9 La 0.171 0.671 0.500
10 La 0.829 0.329 0.500

---

Sorted by energy, starting with the most stable: run w, run x.

---

Run w
Computed, not measured: a relaxed LaZnNi3 crystal at the PBE level of DFT.

Lattice parameters (Å, degrees): 4.736 4.736 4.736 90.00 90.00 90.00
Atoms (fractional coordinates):
1 Ni 0.000 0.000 0.500
2 Ni 0.000 0.500 0.000
3 Ni 0.500 0.000 0.000
4 Zn 0.500 0.500 0.500
5 La 0.000 0.000 0.000

---

Run x
Computed, not measured: a relaxed LaZnNi3 crystal at the PBE level of DFT.

Lattice parameters (Å, degrees): 4.035 4.035 5.836 110.22 110.22 90.00
Atoms (fractional coordinates):
1 La 0.998 0.998 0.997
2 Ni 0.274 0.774 0.548
3 Ni 0.404 0.404 0.808
4 Ni 0.774 0.274 0.548
5 Zn 0.640 0.640 0.280

---

Sorted by energy, starting with the most stable: run x, run w.

---

Run w
Computed, not measured: a relaxed LaZnNi3 crystal at the PBE level of DFT.

Lattice parameters (Å, degrees): 5.119 6.280 6.280 65.78 65.95 65.95
Atoms (fractional coordinates):
1 Ni 0.500 0.000 0.500
2 Ni 0.803 0.634 0.760
3 Ni 0.000 0.000 0.500
4 Ni 0.197 0.366 0.240
5 Ni 0.197 0.740 0.866
6 Ni 0.803 0.260 0.134
7 La 0.500 0.500 0.500
8 La 0.500 0.000 0.000
9 Zn 0.028 0.222 0.722
10 Zn 0.972 0.778 0.278

---

Run x
Computed, not measured: a relaxed LaZnNi3 crystal at the PBE level of DFT.

Lattice parameters (Å, degrees): 4.479 4.479 4.479 90.00 90.00 90.00
Atoms (fractional coordinates):
1 Zn 0.000 0.000 0.000
2 Ni 0.000 0.500 0.000
3 Ni 0.500 0.000 0.000
4 Ni 0.000 0.000 0.500
5 La 0.500 0.500 0.500

---

Sorted by energy, starting with the most stable: run w, run x.

---

Run w
Computed, not measured: a relaxed La3ZnNi crystal at the PBE level of DFT.

Lattice parameters (Å, degrees): 5.976 5.976 9.176 66.00 66.00 69.11
Atoms (fractional coordinates):
1 Zn 0.690 0.310 0.500
2 Zn 0.310 0.690 0.500
3 La 0.308 0.308 0.898
4 La 0.287 0.287 0.318
5 La 0.923 0.923 0.270
6 La 0.713 0.713 0.682
7 La 0.077 0.077 0.730
8 La 0.692 0.692 0.102
9 Ni 0.704 0.296 0.000
10 Ni 0.296 0.704 0.000

---

Run x
Computed, not measured: a relaxed La3ZnNi crystal at the PBE level of DFT.

Lattice parameters (Å, degrees): 5.418 5.418 5.418 90.00 90.00 90.00
Atoms (fractional coordinates):
1 Ni 0.000 0.000 0.000
2 La 0.000 0.000 0.500
3 La 0.000 0.500 0.000
4 La 0.500 0.000 0.000
5 Zn 0.500 0.500 0.500

---

Sorted by energy, starting with the most stable: run w, run x.

---

Run w
Computed, not measured: a relaxed LaZn2Ni4 crystal at the PBE level of DFT.

Lattice parameters (Å, degrees): 5.634 5.634 5.634 102.94 102.94 123.52
Atoms (fractional coordinates):
1 Zn 0.750 0.250 0.500
2 Zn 0.250 0.750 0.500
3 Ni 0.276 0.500 0.776
4 Ni 0.724 0.500 0.224
5 Ni 0.500 0.724 0.224
6 Ni 0.500 0.276 0.776
7 La 0.000 0.000 0.000

---

Run x
Computed, not measured: a relaxed LaZn2Ni4 crystal at the PBE level of DFT.

Lattice parameters (Å, degrees): 5.109 5.152 5.152 75.62 60.30 60.30
Atoms (fractional coordinates):
1 Ni 0.308 0.384 0.000
2 Ni 0.692 0.616 0.000
3 Ni 0.692 0.000 0.616
4 Ni 0.308 0.000 0.384
5 Zn 0.250 0.500 0.500
6 Zn 0.750 0.500 0.500
7 La 0.000 0.000 0.000

---

Sorted by energy, starting with the most stable: run x, run w.

---

Run w
Computed, not measured: a relaxed La4ZnNi crystal at the PBE level of DFT.

Lattice parameters (Å, degrees): 7.271 7.442 7.118 90.00 97.09 90.00
Atoms (fractional coordinates):
1 Zn 0.000 0.000 0.000
2 Zn 0.500 0.500 0.000
3 La 0.702 0.676 0.669
4 La 0.882 0.655 0.179
5 La 0.118 0.345 0.821
6 La 0.202 0.824 0.669
7 La 0.298 0.324 0.331
8 La 0.618 0.155 0.821
9 La 0.382 0.845 0.179
10 La 0.798 0.176 0.331
11 Ni 0.500 0.000 0.500
12 Ni 0.000 0.500 0.500

---

Run x
Computed, not measured: a relaxed La4ZnNi crystal at the PBE level of DFT.

Lattice parameters (Å, degrees): 6.329 6.329 6.329 60.00 60.00 60.00
Atoms (fractional coordinates):
1 La 0.873 0.376 0.376
2 La 0.376 0.873 0.376
3 La 0.376 0.376 0.376
4 La 0.376 0.376 0.873
5 Ni 0.750 0.750 0.750
6 Zn 0.000 0.000 0.000

---

Sorted by energy, starting with the most stable: run w, run x.

---

Run w
Computed, not measured: a relaxed La2Zn5Ni4 crystal at the PBE level of DFT.

Lattice parameters (Å, degrees): 5.310 6.879 6.629 68.20 66.39 67.29
Atoms (fractional coordinates):
1 Ni 0.773 0.554 0.901
2 Ni 0.622 0.940 0.816
3 Ni 0.378 0.060 0.184
4 Ni 0.227 0.446 0.099
5 Zn 0.000 0.500 0.500
6 Zn 0.302 0.742 0.167
7 Zn 0.790 0.742 0.167
8 Zn 0.698 0.258 0.833
9 Zn 0.210 0.258 0.833
10 La 0.270 0.793 0.667
11 La 0.730 0.207 0.333

---

Run x
Computed, not measured: a relaxed La2Zn5Ni4 crystal at the PBE level of DFT.

Lattice parameters (Å, degrees): 5.193 5.336 8.263 81.20 71.69 60.88
Atoms (fractional coordinates):
1 Zn 0.250 0.500 0.500
2 Zn 0.000 0.500 0.000
3 Zn 0.500 0.000 0.000
4 Zn 0.750 0.500 0.500
5 Zn 0.500 0.500 0.000
6 La 0.857 0.000 0.286
7 La 0.143 0.000 0.714
8 Ni 0.525 0.694 0.256
9 Ni 0.219 0.306 0.256
10 Ni 0.475 0.306 0.744
11 Ni 0.781 0.694 0.744

---

Sorted by energy, starting with the most stable: run x, run w.

---

Run w
Computed, not measured: a relaxed La2NpO6 crystal at the PBE level of DFT.

Lattice parameters (Å, degrees): 5.264 5.264 10.966 90.00 90.00 90.00
Each line ends with the local moment (μB).
Atoms (fractional coordinates):
1 La 0.000 0.000 0.667  -0.01
2 La 0.500 0.500 0.167  -0.01
3 La 0.000 0.000 0.333  -0.01
4 La 0.500 0.500 0.833  -0.01
5 O 0.679 0.679 0.352  -0.03
6 O 0.321 0.321 0.352  -0.03
7 O 0.721 0.721 0.000  -0.04
8 O 0.821 0.179 0.852  -0.03
9 O 0.779 0.221 0.500  -0.04
10 O 0.221 0.779 0.500  -0.04
11 O 0.179 0.821 0.148  -0.03
12 O 0.321 0.321 0.648  -0.03
13 O 0.179 0.821 0.852  -0.03
14 O 0.679 0.679 0.648  -0.03
15 O 0.821 0.179 0.148  -0.03
16 O 0.279 0.279 0.000  -0.04
17 Np 0.500 0.500 0.500  1.23
18 Np 0.000 0.000 0.000  1.23

---

Run x
Computed, not measured: a relaxed La2NpO6 crystal at the PBE level of DFT.

Lattice parameters (Å, degrees): 5.998 5.891 9.575 90.00 90.06 90.00
Each line ends with the local moment (μB).
Atoms (fractional coordinates):
1 O 0.350 0.698 0.158  -0.03
2 O 0.850 0.802 0.658  -0.03
3 O 0.206 0.337 0.000  -0.04
4 O 0.350 0.697 0.841  -0.03
5 O 0.650 0.303 0.159  -0.03
6 O 0.706 0.163 0.500  -0.04
7 O 0.150 0.197 0.659  -0.03
8 O 0.650 0.302 0.842  -0.03
9 O 0.850 0.803 0.341  -0.03
10 O 0.794 0.663 0.000  -0.04
11 O 0.150 0.198 0.342  -0.03
12 O 0.294 0.837 0.500  -0.04
13 La 0.500 0.999 0.710  0.00
14 La 0.000 0.501 0.210  0.00
15 La 0.000 0.499 0.790  0.00
16 La 0.500 0.001 0.290  0.00
17 Np 0.000 0.000 0.500  1.20
18 Np 0.500 0.500 0.000  1.20

---

Sorted by energy, starting with the most stable: run x, run w.